# 1
Below is an optimized crystal structure of Al2ReTc, with properties calculated at the PBE level.

Output
The space-group type is P2/m. For the density of states at the Fermi level, the calculation gives 2.8 states/eV/f.u. The formation energy from the elements comes out at -128 meV per atom. The excess energy over the best structure of this formula in the dataset comes out at 0.237 eV/atom. The final energy is -7.702 eV per atom.

Structure (CIF):
```
data_Al2ReTc
_chemical_formula_sum 'Al2 Re1 Tc1'
_symmetry_space_group_name_H-M 'P 1'
_symmetry_Int_Tables_number 1
_symmetry_space_group_name_Hall 'P 1'
_cell_length_a 2.7385
_cell_length_b 4.2040
_cell_length_c 5.1189
_cell_angle_alpha 90.00
_cell_angle_beta 97.90
_cell_angle_gamma 90.00
loop_
_atom_site_label
_atom_site_type_symbol
_atom_site_fract_x
_atom_site_fract_y
_atom_site_fract_z
Al1 Al 0.2420 0.0000 0.2518
Al2 Al 0.7580 0.0000 0.7482
Re1 Re 0.5000 0.5000 0.0000
Tc1 Tc 0.0000 0.5000 0.5000
```

---

# 2
Below is an optimized crystal structure of Al2ReTc, with properties calculated at the PBE level.

Output
The space-group type is Pmm2. For the density of states at the Fermi level, the calculation gives 1.9 states/eV/f.u. The formation energy from the elements comes out at -188 meV per atom. The excess energy over the best structure of this formula in the dataset comes out at 0.177 eV/atom. The final energy is -7.763 eV per atom.

Structure (CIF):
```
data_Al2ReTc
_chemical_formula_sum 'Al2 Re1 Tc1'
_symmetry_space_group_name_H-M 'P 1'
_symmetry_Int_Tables_number 1
_symmetry_space_group_name_Hall 'P 1'
_cell_length_a 2.8544
_cell_length_b 4.4718
_cell_length_c 4.5861
_cell_angle_alpha 90.00
_cell_angle_beta 90.00
_cell_angle_gamma 90.00
loop_
_atom_site_label
_atom_site_type_symbol
_atom_site_fract_x
_atom_site_fract_y
_atom_site_fract_z
Al1 Al 0.0000 0.0000 0.0000
Al2 Al 0.5000 0.5000 0.1515
Re1 Re 0.0000 0.5000 0.6626
Tc1 Tc 0.5000 0.0000 0.4881
```

---

# 3
Below is an optimized crystal structure of AlReTc2, with properties calculated at the PBE level.

Output
The space-group type is Pmm2. For the density of states at the Fermi level, the calculation gives 4.3 states/eV/f.u. The formation energy from the elements comes out at -97 meV per atom. The final energy is -9.328 eV per atom.

Structure (CIF):
```
data_AlReTc2
_chemical_formula_sum 'Al1 Re1 Tc2'
_symmetry_space_group_name_H-M 'P 1'
_symmetry_Int_Tables_number 1
_symmetry_space_group_name_Hall 'P 1'
_cell_length_a 2.7921
_cell_length_b 4.0405
_cell_length_c 5.1883
_cell_angle_alpha 90.00
_cell_angle_beta 90.00
_cell_angle_gamma 90.00
loop_
_atom_site_label
_atom_site_type_symbol
_atom_site_fract_x
_atom_site_fract_y
_atom_site_fract_z
Al1 Al 0.0000 0.0000 0.0000
Re1 Re 0.5000 0.5000 0.2541
Tc1 Tc 0.0000 0.0000 0.4992
Tc2 Tc 0.5000 0.5000 0.7694
```

---

# 4
Below is an optimized crystal structure of AlReTc2, with properties calculated at the PBE level.

Output
The space-group type is R3m. For the density of states at the Fermi level, the calculation gives 4.1 states/eV/f.u. The formation energy from the elements comes out at -62 meV per atom. The final energy is -9.293 eV per atom.

Structure (CIF):
```
data_AlReTc2
_chemical_formula_sum 'Al3 Re3 Tc6'
_symmetry_space_group_name_H-M 'P 1'
_symmetry_Int_Tables_number 1
_symmetry_space_group_name_Hall 'P 1'
_cell_length_a 2.7816
_cell_length_b 2.7816
_cell_length_c 26.3550
_cell_angle_alpha 90.00
_cell_angle_beta 90.00
_cell_angle_gamma 120.00
loop_
_atom_site_label
_atom_site_type_symbol
_atom_site_fract_x
_atom_site_fract_y
_atom_site_fract_z
Al1 Al 0.0000 0.0000 0.0000
Al2 Al 0.3333 0.6667 0.6667
Al3 Al 0.6667 0.3333 0.3333
Re1 Re 0.0000 0.0000 0.2488
Re2 Re 0.3333 0.6667 0.9154
Re3 Re 0.6667 0.3333 0.5821
Tc1 Tc 0.0000 0.0000 0.4990
Tc2 Tc 0.0000 0.0000 0.7498
Tc3 Tc 0.3333 0.6667 0.1656
Tc4 Tc 0.3333 0.6667 0.4165
Tc5 Tc 0.6667 0.3333 0.0832
Tc6 Tc 0.6667 0.3333 0.8323
```

---

# 5
Below is an optimized crystal structure of Al2ReTc2, with properties calculated at the PBE level.

Output
The space-group type is P4/mbm. For the density of states at the Fermi level, the calculation gives 3.8 states/eV/f.u. The formation energy from the elements comes out at 170 meV per atom. The excess energy over the best structure of this formula in the dataset comes out at 0.302 eV/atom. The final energy is -7.963 eV per atom.

Structure (CIF):
```
data_Al2ReTc2
_chemical_formula_sum 'Al4 Re2 Tc4'
_symmetry_space_group_name_H-M 'P 1'
_symmetry_Int_Tables_number 1
_symmetry_space_group_name_Hall 'P 1'
_cell_length_a 6.8147
_cell_length_b 6.8147
_cell_length_c 3.2657
_cell_angle_alpha 90.00
_cell_angle_beta 90.00
_cell_angle_gamma 90.00
loop_
_atom_site_label
_atom_site_type_symbol
_atom_site_fract_x
_atom_site_fract_y
_atom_site_fract_z
Al1 Al 0.1550 0.3450 0.0000
Al2 Al 0.3450 0.8450 0.0000
Al3 Al 0.6550 0.1550 0.0000
Al4 Al 0.8450 0.6550 0.0000
Re1 Re 0.0000 0.0000 0.5000
Re2 Re 0.5000 0.5000 0.5000
Tc1 Tc 0.1449 0.6449 0.5000
Tc2 Tc 0.3551 0.1449 0.5000
Tc3 Tc 0.6449 0.8551 0.5000
Tc4 Tc 0.8551 0.3551 0.5000
```

---

# 6
Below is an optimized crystal structure of Al3ReTc, with properties calculated at the PBE level.

Output
The space-group type is Pm-3m. For the density of states at the Fermi level, the calculation gives 2.5 states/eV/f.u. The formation energy from the elements comes out at 916 meV per atom. The excess energy over the best structure of this formula in the dataset comes out at 0.000 eV/atom. The final energy is -5.892 eV per atom.

Structure (CIF):
```
data_Al3ReTc
_chemical_formula_sum 'Al3 Re1 Tc1'
_symmetry_space_group_name_H-M 'P 1'
_symmetry_Int_Tables_number 1
_symmetry_space_group_name_Hall 'P 1'
_cell_length_a 4.6942
_cell_length_b 4.6942
_cell_length_c 4.6942
_cell_angle_alpha 90.00
_cell_angle_beta 90.00
_cell_angle_gamma 90.00
loop_
_atom_site_label
_atom_site_type_symbol
_atom_site_fract_x
_atom_site_fract_y
_atom_site_fract_z
Al1 Al 0.0000 0.0000 0.5000
Al2 Al 0.0000 0.5000 0.0000
Al3 Al 0.5000 0.0000 0.0000
Re1 Re 0.0000 0.0000 0.0000
Tc1 Tc 0.5000 0.5000 0.5000
```

---

# 7
Below is an optimized crystal structure of Al2ReTc, with properties calculated at the PBE level.

Output
The space-group type is I4/mmm. For the density of states at the Fermi level, the calculation gives 4.4 states/eV/f.u. The formation energy from the elements comes out at -36 meV per atom. The excess energy over the best structure of this formula in the dataset comes out at 0.328 eV/atom. The final energy is -7.611 eV per atom.

Structure (CIF):
```
data_Al2ReTc
_chemical_formula_sum 'Al4 Re2 Tc2'
_symmetry_space_group_name_H-M 'P 1'
_symmetry_Int_Tables_number 1
_symmetry_space_group_name_Hall 'P 1'
_cell_length_a 3.8691
_cell_length_b 3.8691
_cell_length_c 7.8175
_cell_angle_alpha 90.00
_cell_angle_beta 90.00
_cell_angle_gamma 90.00
loop_
_atom_site_label
_atom_site_type_symbol
_atom_site_fract_x
_atom_site_fract_y
_atom_site_fract_z
Al1 Al 0.0000 0.5000 0.2500
Al2 Al 0.0000 0.5000 0.7500
Al3 Al 0.5000 0.0000 0.2500
Al4 Al 0.5000 0.0000 0.7500
Re1 Re 0.0000 0.0000 0.0000
Re2 Re 0.5000 0.5000 0.5000
Tc1 Tc 0.0000 0.0000 0.5000
Tc2 Tc 0.5000 0.5000 0.0000
```

---

# 8
Below is an optimized crystal structure of Al2ReTc, with properties calculated at the PBE level.

Output
The space-group type is Pmmm. For the density of states at the Fermi level, the calculation gives 4.6 states/eV/f.u. The formation energy from the elements comes out at -42 meV per atom. The excess energy over the best structure of this formula in the dataset comes out at 0.323 eV/atom. The final energy is -7.616 eV per atom.

Structure (CIF):
```
data_Al2ReTc
_chemical_formula_sum 'Al2 Re1 Tc1'
_symmetry_space_group_name_H-M 'P 1'
_symmetry_Int_Tables_number 1
_symmetry_space_group_name_Hall 'P 1'
_cell_length_a 2.7769
_cell_length_b 3.8722
_cell_length_c 5.4374
_cell_angle_alpha 90.00
_cell_angle_beta 90.00
_cell_angle_gamma 90.00
loop_
_atom_site_label
_atom_site_type_symbol
_atom_site_fract_x
_atom_site_fract_y
_atom_site_fract_z
Al1 Al 0.0000 0.0000 0.2492
Al2 Al 0.0000 0.0000 0.7508
Re1 Re 0.5000 0.5000 0.5000
Tc1 Tc 0.5000 0.5000 0.0000
```

---

# 9
Below is an optimized crystal structure of AlReTc2, with properties calculated at the PBE level.

Output
The space-group type is Imm2. For the density of states at the Fermi level, the calculation gives 2.8 states/eV/f.u. The formation energy from the elements comes out at -199 meV per atom. The final energy is -9.430 eV per atom.

Structure (CIF):
```
data_AlReTc2
_chemical_formula_sum 'Al2 Re2 Tc4'
_symmetry_space_group_name_H-M 'P 1'
_symmetry_Int_Tables_number 1
_symmetry_space_group_name_Hall 'P 1'
_cell_length_a 3.1002
_cell_length_b 4.2499
_cell_length_c 8.7521
_cell_angle_alpha 90.00
_cell_angle_beta 90.00
_cell_angle_gamma 90.00
loop_
_atom_site_label
_atom_site_type_symbol
_atom_site_fract_x
_atom_site_fract_y
_atom_site_fract_z
Al1 Al 0.0000 0.0000 0.0000
Al2 Al 0.5000 0.5000 0.5000
Re1 Re 0.0000 0.5000 0.2502
Re2 Re 0.5000 0.0000 0.7502
Tc1 Tc 0.0000 0.0000 0.5006
Tc2 Tc 0.0000 0.5000 0.7470
Tc3 Tc 0.5000 0.0000 0.2470
Tc4 Tc 0.5000 0.5000 0.0006
```

---

# 10
Below is an optimized crystal structure of AlReTc2, with properties calculated at the PBE level.

Output
The space-group type is Pmmm. For the density of states at the Fermi level, the calculation gives 3.1 states/eV/f.u. The formation energy from the elements comes out at -14 meV per atom. The final energy is -9.245 eV per atom.

Structure (CIF):
```
data_AlReTc2
_chemical_formula_sum 'Al1 Re1 Tc2'
_symmetry_space_group_name_H-M 'P 1'
_symmetry_Int_Tables_number 1
_symmetry_space_group_name_Hall 'P 1'
_cell_length_a 3.0396
_cell_length_b 4.2697
_cell_length_c 4.4835
_cell_angle_alpha 90.00
_cell_angle_beta 90.00
_cell_angle_gamma 90.00
loop_
_atom_site_label
_atom_site_type_symbol
_atom_site_fract_x
_atom_site_fract_y
_atom_site_fract_z
Al1 Al 0.0000 0.0000 0.0000
Re1 Re 0.5000 0.0000 0.5000
Tc1 Tc 0.0000 0.5000 0.5000
Tc2 Tc 0.5000 0.5000 0.0000
```

---

# 11
Below is an optimized crystal structure of AlReTc2, with properties calculated at the PBE level.

Output
The space-group type is F-43m. For the density of states at the Fermi level, the calculation gives 3.9 states/eV/f.u. The formation energy from the elements comes out at -33 meV per atom. The final energy is -9.264 eV per atom.

Structure (CIF):
```
data_AlReTc2
_chemical_formula_sum 'Al4 Re4 Tc8'
_symmetry_space_group_name_H-M 'P 1'
_symmetry_Int_Tables_number 1
_symmetry_space_group_name_Hall 'P 1'
_cell_length_a 6.1502
_cell_length_b 6.1502
_cell_length_c 6.1502
_cell_angle_alpha 90.00
_cell_angle_beta 90.00
_cell_angle_gamma 90.00
loop_
_atom_site_label
_atom_site_type_symbol
_atom_site_fract_x
_atom_site_fract_y
_atom_site_fract_z
Al1 Al 0.0000 0.0000 0.0000
Al2 Al 0.0000 0.5000 0.5000
Al3 Al 0.5000 0.0000 0.5000
Al4 Al 0.5000 0.5000 0.0000
Re1 Re 0.2500 0.2500 0.7500
Re2 Re 0.2500 0.7500 0.2500
Re3 Re 0.7500 0.2500 0.2500
Re4 Re 0.7500 0.7500 0.7500
Tc1 Tc 0.0000 0.0000 0.5000
Tc2 Tc 0.0000 0.5000 0.0000
Tc3 Tc 0.2500 0.2500 0.2500
Tc4 Tc 0.2500 0.7500 0.7500
Tc5 Tc 0.5000 0.0000 0.0000
Tc6 Tc 0.5000 0.5000 0.5000
Tc7 Tc 0.7500 0.2500 0.7500
Tc8 Tc 0.7500 0.7500 0.2500
```

---

# 12
Below is an optimized crystal structure of Al2ReTc, with properties calculated at the PBE level.

Output
The space-group type is Cm. For the density of states at the Fermi level, the calculation gives 2.5 states/eV/f.u. The formation energy from the elements comes out at -225 meV per atom. The excess energy over the best structure of this formula in the dataset comes out at 0.140 eV/atom. The final energy is -7.800 eV per atom.

Structure (CIF):
```
data_Al2ReTc
_chemical_formula_sum 'Al4 Re2 Tc2'
_symmetry_space_group_name_H-M 'P 1'
_symmetry_Int_Tables_number 1
_symmetry_space_group_name_Hall 'P 1'
_cell_length_a 9.4086
_cell_length_b 2.9657
_cell_length_c 4.4080
_cell_angle_alpha 90.00
_cell_angle_beta 108.42
_cell_angle_gamma 90.00
loop_
_atom_site_label
_atom_site_type_symbol
_atom_site_fract_x
_atom_site_fract_y
_atom_site_fract_z
Al1 Al 0.0000 0.0000 0.0000
Al2 Al 0.2285 0.0000 0.6937
Al3 Al 0.5000 0.5000 0.0000
Al4 Al 0.7285 0.5000 0.6937
Re1 Re 0.2478 0.5000 0.2055
Re2 Re 0.7478 0.0000 0.2055
Tc1 Tc 0.4832 0.0000 0.4906
Tc2 Tc 0.9832 0.5000 0.4906
```